[1]
DFT (GGA-PBE) results for crystalline Ba2Na3LiBi4 at its relaxed geometry.

abc: 4.9626 4.9626 13.6977
angles: 90.00 90.00 90.00
Space group P-4m2 (No. 115)
One atom of each set of equivalent atoms:
Ba 0.0000 0.5000 0.2351
Na 0.0000 0.0000 0.0000
Na 0.0000 0.5000 0.6441
Li 0.5000 0.5000 0.0000
Bi 0.0000 0.0000 0.5000
Bi 0.0000 0.5000 0.8630
Bi 0.5000 0.5000 0.5000

Energy relative to the elements (meV per atom): -537
Fermi-level density of states (states/eV/atom): 0.2867
VASP energy (eV/atom): -3.061

[2]
DFT (GGA-PBE) results for crystalline Hf2NbIn at its relaxed geometry.

abc: 3.1993 3.1993 29.5213
angles: 90.00 90.00 120.00
Space group R3m (No. 160, hexagonal axes)
One atom of each set of equivalent atoms:
Hf 0.0000 0.0000 0.0000
Hf 0.0000 0.0000 0.1750
Nb 0.0000 0.0000 0.5877
In 0.0000 0.0000 0.4207

Energy relative to the elements (meV per atom): 45
Fermi-level density of states (states/eV/atom): 1.0635
VASP energy (eV/atom): -8.134

[3]
DFT (GGA-PBE) results for crystalline BaMn3B at its relaxed geometry.

abc: 4.3056 4.3056 4.3056
angles: 90.00 90.00 90.00
Space group Pm-3m (No. 221)
One atom of each set of equivalent atoms:
Ba 0.0000 0.0000 0.0000
Mn 0.0000 0.5000 0.5000
B 0.5000 0.5000 0.5000

Energy relative to the elements (meV per atom): 580
Fermi-level density of states (states/eV/atom): 0.5218
VASP energy (eV/atom): -6.641

[4]
DFT (GGA-PBE) results for crystalline Cs2TeSe2 at its relaxed geometry.

abc: 5.4063 21.5077 7.5179
angles: 90.00 90.00 90.00
Space group Cmc2_1 (No. 36)
One atom of each set of equivalent atoms:
Cs 0.0000 0.0163 0.0000
Cs 0.0000 0.2047 0.2316
Te 0.0000 0.3820 0.1467
Se 0.0000 0.1527 0.6948
Se 0.0000 0.4112 0.8130

VASP energy (eV/atom): -3.167
Formation energy without anion corrections (eV per atom): -0.80

[5]
DFT (GGA-PBE) results for crystalline Eu6Cd at its relaxed geometry.

abc: 9.8997 9.8997 9.8997
angles: 90.00 90.00 90.00
Space group Im-3m (No. 229)
One atom of each set of equivalent atoms:
Eu 0.0000 0.2500 0.5000
Cd 0.0000 0.0000 0.0000

Energy relative to the elements (meV per atom): 1086
Fermi-level density of states (states/eV/atom): 1.7147
VASP energy (eV/atom): -7.851

[6]
DFT (GGA-PBE) results for crystalline LaBeAu2 at its relaxed geometry.

abc: 4.1352 5.5843 7.4847
angles: 90.00 90.00 90.00
Space group Immm (No. 71)
One atom of each set of equivalent atoms:
La 0.0000 0.0000 0.0000
Be 0.0000 0.0000 0.5000
Au 0.0000 0.5000 0.1910

Energy relative to the elements (meV per atom): -373
Fermi-level density of states (states/eV/atom): 0.6578
VASP energy (eV/atom): -4.175

[7]
DFT (GGA-PBE) results for crystalline Th4RhSe2Cl at its relaxed geometry.

abc: 7.2021 4.0594 7.4822
angles: 90.00 108.72 90.00
Space group P2/m (No. 10)
One atom of each set of equivalent atoms:
Th 0.2319 0.0000 0.2309
Th 0.2492 0.5000 0.7567
Rh 0.0000 0.5000 0.0000
Se 0.0000 0.0000 0.5000
Se 0.5000 0.5000 0.5000
Cl 0.5000 0.0000 0.0000

Fermi-level density of states (states/eV/atom): 0.6487
VASP energy (eV/atom): -6.984
Formation energy without anion corrections (eV per atom): -1.25

[8]
DFT (GGA-PBE) results for crystalline YTaN2F at its relaxed geometry.

abc: 4.4586 4.4586 4.0129
angles: 90.00 90.00 90.00
Space group P4/mmm (No. 123)
One atom of each set of equivalent atoms:
Y 0.0000 0.0000 0.0000
Ta 0.5000 0.5000 0.5000
N 0.0000 0.5000 0.0000
F 0.0000 0.0000 0.5000

Fermi-level density of states (states/eV/atom): 0.6653
VASP energy (eV/atom): -7.188
Formation energy without anion corrections (eV per atom): 0.18

[9]
DFT (GGA-PBE) results for crystalline CaMg8Al4 at its relaxed geometry.

abc: 10.0264 10.0264 5.6554
angles: 90.00 90.00 90.00
Space group I4/mmm (No. 139)
One atom of each set of equivalent atoms:
Ca 0.0000 0.0000 0.0000
Mg 0.0000 0.2147 0.5000
Mg 0.0000 0.3505 0.0000
Al 0.2500 0.2500 0.2500

Energy relative to the elements (meV per atom): -70
Fermi-level density of states (states/eV/atom): 0.3542
VASP energy (eV/atom): -2.357

[10]
DFT (GGA-PBE) results for crystalline Ta3TiCr8 at its relaxed geometry.

abc: 4.8844 4.8844 8.0182
angles: 90.00 90.00 120.00
Space group P3m1 (No. 156)
One atom of each set of equivalent atoms:
Ta 0.0000 0.0000 0.0000
Ta 0.0000 0.0000 0.3807
Ta 0.3333 0.6667 0.8780
Ti 0.3333 0.6667 0.5005
Cr 0.0065 0.5032 0.1906
Cr 0.3278 0.1639 0.6888
Cr 0.6667 0.3333 0.4395
Cr 0.6667 0.3333 0.9397

Energy relative to the elements (meV per atom): -129
Fermi-level density of states (states/eV/atom): 0.6391
VASP energy (eV/atom): -10.166

[11]
DFT (GGA-PBE) results for crystalline NbTeNO2 at its relaxed geometry.

abc: 3.9852 3.9852 4.3639
angles: 90.00 90.00 90.00
Space group P4/mmm (No. 123)
One atom of each set of equivalent atoms:
Nb 0.0000 0.0000 0.0000
Te 0.5000 0.5000 0.5000
N 0.0000 0.0000 0.5000
O 0.0000 0.5000 0.0000

Fermi-level density of states (states/eV/atom): 0.4499
VASP energy (eV/atom): -7.004
Formation energy without anion corrections (eV per atom): -0.71

[12]
DFT (GGA-PBE) results for crystalline LaTm3Tl2 at its relaxed geometry.

abc: 16.4699 5.3930 9.2743
angles: 90.00 119.06 90.00
Space group C2/m (No. 12)
One atom of each set of equivalent atoms:
La 0.1329 0.0000 0.1746
Tm 0.0621 0.0000 0.7141
Tm 0.1138 0.5000 0.5371
Tm 0.1934 0.5000 0.9860
Tl 0.0146 0.5000 0.1707
Tl 0.2212 0.0000 0.5986

Energy relative to the elements (meV per atom): -179
Fermi-level density of states (states/eV/atom): 1.0096
VASP energy (eV/atom): -4.025